# 1
# GGA-PBE AlIn2Sn2, optimized geometry
data_AlIn2Sn2
_chemical_formula_sum 'Al2 In4 Sn4'
_cell_length_a 8.4752
_cell_length_b 8.4752
_cell_length_c 3.7675
_cell_angle_alpha 90.00
_cell_angle_beta 90.00
_cell_angle_gamma 90.00
_symmetry_space_group_name_H-M 'P 1'
_symmetry_Int_Tables_number 1
loop_
_symmetry_equiv_pos_as_xyz
'x,y,z'
loop_
_atom_site_label
_atom_site_type_symbol
_atom_site_fract_x
_atom_site_fract_y
_atom_site_fract_z
Al1 Al 0.0000 0.0000 0.0000
Al2 Al 0.5000 0.5000 0.0000
In1 In 0.1495 0.3505 0.0000
In2 In 0.3505 0.8505 0.0000
In3 In 0.6495 0.1495 0.0000
In4 In 0.8505 0.6495 0.0000
Sn1 Sn 0.1491 0.6491 0.5000
Sn2 Sn 0.3509 0.1491 0.5000
Sn3 Sn 0.6491 0.8509 0.5000
Sn4 Sn 0.8509 0.3509 0.5000
# VASP energy in eV/atom: -3.199
# Energy above the most stable polymorph in this dataset in meV/atom: 86
# Theoretical density in g cm⁻³: 6.063
# Formation enthalpy at 0 K in eV/f.u.: 1.2

---

# 2
# GGA-PBE MgGa3Pd, optimized geometry
data_MgGa3Pd
_chemical_formula_sum 'Mg1 Ga3 Pd1'
_cell_length_a 4.8680
_cell_length_b 4.8680
_cell_length_c 4.8680
_cell_angle_alpha 90.00
_cell_angle_beta 90.00
_cell_angle_gamma 90.00
_symmetry_space_group_name_H-M 'P 1'
_symmetry_Int_Tables_number 1
loop_
_symmetry_equiv_pos_as_xyz
'x,y,z'
loop_
_atom_site_label
_atom_site_type_symbol
_atom_site_fract_x
_atom_site_fract_y
_atom_site_fract_z
Mg1 Mg 0.0000 0.0000 0.0000
Ga1 Ga 0.0000 0.5000 0.5000
Ga2 Ga 0.5000 0.0000 0.5000
Ga3 Ga 0.5000 0.5000 0.0000
Pd1 Pd 0.5000 0.5000 0.5000
# VASP energy in eV/atom: -3.213
# Energy above the most stable polymorph in this dataset in meV/atom: 293
# Theoretical density in g cm⁻³: 4.893
# Formation enthalpy at 0 K in eV/f.u.: -0.2

---

# 3
# GGA-PBE HoTm2Th4, optimized geometry
data_HoTm2Th4
_chemical_formula_sum 'Ho1 Tm2 Th4'
_cell_length_a 20.1670
_cell_length_b 20.1670
_cell_length_c 20.1670
_cell_angle_alpha 10.13
_cell_angle_beta 10.13
_cell_angle_gamma 10.13
_symmetry_space_group_name_H-M 'P 1'
_symmetry_Int_Tables_number 1
loop_
_symmetry_equiv_pos_as_xyz
'x,y,z'
loop_
_atom_site_label
_atom_site_type_symbol
_atom_site_fract_x
_atom_site_fract_y
_atom_site_fract_z
Ho1 Ho 0.0000 0.0000 0.0000
Tm1 Tm 0.4280 0.4280 0.4280
Tm2 Tm 0.5720 0.5720 0.5720
Th1 Th 0.1431 0.1431 0.1431
Th2 Th 0.2857 0.2857 0.2857
Th3 Th 0.7143 0.7143 0.7143
Th4 Th 0.8569 0.8569 0.8569
# VASP energy in eV/atom: -6.140
# Energy above the most stable polymorph in this dataset in meV/atom: 0
# Theoretical density in g cm⁻³: 10.793
# Formation enthalpy at 0 K in eV/f.u.: 0.2

---

# 4
# GGA-PBE CaPmCu2, optimized geometry
data_CaPmCu2
_chemical_formula_sum 'Ca4 Pm4 Cu8'
_cell_length_a 7.0825
_cell_length_b 7.0825
_cell_length_c 7.0825
_cell_angle_alpha 90.00
_cell_angle_beta 90.00
_cell_angle_gamma 90.00
_symmetry_space_group_name_H-M 'P 1'
_symmetry_Int_Tables_number 1
loop_
_symmetry_equiv_pos_as_xyz
'x,y,z'
loop_
_atom_site_label
_atom_site_type_symbol
_atom_site_fract_x
_atom_site_fract_y
_atom_site_fract_z
Ca1 Ca 0.0000 0.0000 0.0000
Ca2 Ca 0.0000 0.5000 0.5000
Ca3 Ca 0.5000 0.0000 0.5000
Ca4 Ca 0.5000 0.5000 0.0000
Pm1 Pm 0.0000 0.0000 0.5000
Pm2 Pm 0.0000 0.5000 0.0000
Pm3 Pm 0.5000 0.0000 0.0000
Pm4 Pm 0.5000 0.5000 0.5000
Cu1 Cu 0.2500 0.2500 0.2500
Cu2 Cu 0.2500 0.2500 0.7500
Cu3 Cu 0.2500 0.7500 0.2500
Cu4 Cu 0.2500 0.7500 0.7500
Cu5 Cu 0.7500 0.2500 0.2500
Cu6 Cu 0.7500 0.2500 0.7500
Cu7 Cu 0.7500 0.7500 0.2500
Cu8 Cu 0.7500 0.7500 0.7500
# VASP energy in eV/atom: -3.871
# Energy above the most stable polymorph in this dataset in meV/atom: 21
# Theoretical density in g cm⁻³: 5.836
# Formation enthalpy at 0 K in eV/f.u.: -0.5